A relaxed structure of Cu5Ag3. Source: OQMD via LeMat-Bulk, functional GGA-PBE.

```
Cu5Ag3
1.0
5.788 -1.371 0.000
5.788 1.371 0.000
-5.650 0.000 7.133
Ag Cu
3 5
Cartesian
3.748 0.000 0.854
7.137 0.000 1.725
2.963 0.000 3.655
-0.662 0.000 2.829
6.518 0.000 4.510
-1.270 0.000 5.384
2.246 0.000 6.198
5.987 0.000 6.944
```

Its volume is 14.15 A^3/atom. The calculation puts the total energy at -26.38 eV/cell. The value obtained for the energy relative to the elements is 0.08 eV per atom. The excess energy over the best structure of this formula in the dataset comes out at 0.30 eV/f.u.